# Mg2Au

An optimized crystal structure of Mg2Au (GGA-PBEsol, the Alexandria database).

Summary:
Calculated total energy = -14.7 eV/cell
Crystal system = cubic
Formation energy from the elements = 0.006 eV/atom
Symmetry = Fd-3m, No. 227
Magnetization = 0.000 Bohr magnetons per cell

Unit cell a=5.437 b=5.437 c=5.437 alpha=60.00 beta=60.00 gamma=60.00
Fractional coordinates of all 6 atoms:
Mg 0.000 0.000 0.000
Mg 0.000 0.000 0.500
Mg 0.000 0.500 0.000
Mg 0.500 0.000 0.000
Au 0.375 0.375 0.375
Au 0.625 0.625 0.625

---

# NaP4Ru2O14

An optimized crystal structure of NaP4Ru2O14 (GGA-PBEsol, the Alexandria database).

Summary:
Calculated total energy = -156.8 eV/cell
Crystal system = triclinic
Raw formation energy = -38.381 eV/f.u.
Symmetry = P1, No. 1
Magnetization = 3.013 Bohr magnetons per cell

Unit cell a=4.812 b=6.931 c=8.010 alpha=90.88 beta=92.53 gamma=105.59
Fractional coordinates of all 21 atoms:
Na 0.000 0.000 0.000
P 0.127 0.368 0.260
P 0.162 0.627 0.773
P 0.529 0.759 0.321
P 0.759 0.237 0.710
Ru 0.144 0.997 0.516
Ru 0.643 0.495 0.017
O 0.016 0.186 0.365
O 0.273 0.808 0.667
O 0.285 0.316 0.109
O 0.334 0.901 0.327
O 0.350 0.537 0.372
O 0.413 0.541 0.822
O 0.507 0.197 0.582
O 0.612 0.749 0.138
O 0.687 0.246 0.895
O 0.780 0.798 0.451
O 0.874 0.452 0.211
O 0.941 0.457 0.658
O 0.952 0.092 0.705
O 0.997 0.676 0.921

---

# SrPt2Cl

An optimized crystal structure of SrPt2Cl (GGA-PBEsol, the Alexandria database).

Summary:
Calculated total energy = -37.3 eV/cell
Crystal system = tetragonal
Raw formation energy = -0.883 eV/f.u.
Symmetry = I-4m2, No. 119
Magnetization = 0.000 Bohr magnetons per cell

Unit cell a=4.809 b=4.809 c=6.775 alpha=90.00 beta=90.00 gamma=90.00
Fractional coordinates of all 8 atoms:
Sr 0.000 0.000 0.000
Sr 0.500 0.500 0.500
Pt 0.000 0.000 0.500
Pt 0.000 0.500 0.750
Pt 0.500 0.000 0.250
Pt 0.500 0.500 0.000
Cl 0.000 0.500 0.250
Cl 0.500 0.000 0.750